[1]
A geometry-optimized AcPm7Tm2 structure, computed with PBE.

Output
Fermi-level density of states   15.8 states/eV per cell
V   346 Å³ per cell
DFT formation energy   0.05 eV/atom
Total magnetic moment   0.00 μB/cell

Geometry as CIF:
```
data_AcPm7Tm2
_chemical_formula_sum 'Ac1 Pm7 Tm2'
_cell_length_a 5.591
_cell_length_b 9.096
_cell_length_c 9.735
_cell_angle_alpha 117.82
_cell_angle_beta 73.36
_cell_angle_gamma 127.89
_space_group_name_H-M_alt 'P 1'
_space_group_IT_number 1
_space_group_name_Hall 'P 1'
loop_
_atom_site_label
_atom_site_type_symbol
_atom_site_fract_x
_atom_site_fract_y
_atom_site_fract_z
_atom_site_occupancy
Ac1 Ac 0.000 0.000 0.000 1
Pm1 Pm 0.000 0.797 0.595 1
Pm2 Pm 0.000 0.203 0.405 1
Pm3 Pm 0.247 0.636 0.778 1
Pm4 Pm 0.753 0.364 0.222 1
Pm5 Pm 0.247 0.858 0.222 1
Pm6 Pm 0.753 0.142 0.778 1
Pm7 Pm 0.500 0.500 0.000 1
Tm1 Tm 0.499 0.699 0.398 1
Tm2 Tm 0.501 0.301 0.602 1
```

---

[2]
A geometry-optimized AcPm12Tm5 structure, computed with PBE.

Output
Fermi-level density of states   27.2 states/eV per cell
V   606 Å³ per cell
DFT formation energy   0.09 eV/atom
Total magnetic moment   0.00 μB/cell

Geometry as CIF:
```
data_AcPm12Tm5
_chemical_formula_sum 'Ac1 Pm12 Tm5'
_cell_length_a 12.186
_cell_length_b 10.520
_cell_length_c 5.797
_cell_angle_alpha 89.93
_cell_angle_beta 89.87
_cell_angle_gamma 54.61
_space_group_name_H-M_alt 'P 1'
_space_group_IT_number 1
_space_group_name_Hall 'P 1'
loop_
_atom_site_label
_atom_site_type_symbol
_atom_site_fract_x
_atom_site_fract_y
_atom_site_fract_z
_atom_site_occupancy
Ac1 Ac 0.000 0.000 0.000 1
Pm1 Pm 0.794 0.000 0.531 1
Pm2 Pm 0.206 0.000 0.469 1
Pm3 Pm 0.691 0.000 0.029 1
Pm4 Pm 0.309 0.000 0.971 1
Pm5 Pm 0.332 0.638 0.003 1
Pm6 Pm 0.030 0.638 0.997 1
Pm7 Pm 0.970 0.362 0.003 1
Pm8 Pm 0.668 0.362 0.997 1
Pm9 Pm 0.472 0.357 0.497 1
Pm10 Pm 0.829 0.643 0.497 1
Pm11 Pm 0.171 0.357 0.503 1
Pm12 Pm 0.528 0.643 0.503 1
Tm1 Tm 0.500 0.000 0.500 1
Tm2 Tm 0.141 0.718 0.500 1
Tm3 Tm 0.859 0.282 0.500 1
Tm4 Tm 0.639 0.722 0.000 1
Tm5 Tm 0.361 0.278 0.000 1
```

---

[3]
A geometry-optimized AcPm12Tm6 structure, computed with PBE.

Output
Fermi-level density of states   36.0 states/eV per cell
V   661 Å³ per cell
DFT formation energy   0.19 eV/atom
Total magnetic moment   0.00 μB/cell

Geometry as CIF:
```
data_AcPm12Tm6
_chemical_formula_sum 'Ac1 Pm12 Tm6'
_cell_length_a 8.840
_cell_length_b 8.840
_cell_length_c 8.840
_cell_angle_alpha 99.18
_cell_angle_beta 99.18
_cell_angle_gamma 99.18
_space_group_name_H-M_alt 'P 1'
_space_group_IT_number 1
_space_group_name_Hall 'P 1'
loop_
_atom_site_label
_atom_site_type_symbol
_atom_site_fract_x
_atom_site_fract_y
_atom_site_fract_z
_atom_site_occupancy
Ac1 Ac 0.000 0.000 0.000 1
Pm1 Pm 0.759 0.241 0.500 1
Pm2 Pm 0.354 0.080 0.354 1
Pm3 Pm 0.354 0.354 0.080 1
Pm4 Pm 0.920 0.646 0.646 1
Pm5 Pm 0.646 0.646 0.920 1
Pm6 Pm 0.646 0.920 0.646 1
Pm7 Pm 0.500 0.759 0.241 1
Pm8 Pm 0.241 0.500 0.759 1
Pm9 Pm 0.241 0.759 0.500 1
Pm10 Pm 0.500 0.241 0.759 1
Pm11 Pm 0.759 0.500 0.241 1
Pm12 Pm 0.080 0.354 0.354 1
Tm1 Tm 0.896 0.342 0.896 1
Tm2 Tm 0.896 0.896 0.342 1
Tm3 Tm 0.342 0.896 0.896 1
Tm4 Tm 0.104 0.104 0.658 1
Tm5 Tm 0.104 0.658 0.104 1
Tm6 Tm 0.658 0.104 0.104 1
```

---

[4]
A geometry-optimized AcPm15Tm4 structure, computed with PBE.

Output
Fermi-level density of states   28.0 states/eV per cell
V   679 Å³ per cell
DFT formation energy   0.02 eV/atom
Total magnetic moment   0.00 μB/cell

Geometry as CIF:
```
data_AcPm15Tm4
_chemical_formula_sum 'Ac1 Pm15 Tm4'
_cell_length_a 5.144
_cell_length_b 5.144
_cell_length_c 25.652
_cell_angle_alpha 90.00
_cell_angle_beta 90.00
_cell_angle_gamma 90.00
_space_group_name_H-M_alt 'P 1'
_space_group_IT_number 1
_space_group_name_Hall 'P 1'
loop_
_atom_site_label
_atom_site_type_symbol
_atom_site_fract_x
_atom_site_fract_y
_atom_site_fract_z
_atom_site_occupancy
Ac1 Ac 0.000 0.000 0.000 1
Pm1 Pm 0.500 0.500 0.000 1
Pm2 Pm 0.500 0.500 0.205 1
Pm3 Pm 0.500 0.500 0.402 1
Pm4 Pm 0.500 0.500 0.598 1
Pm5 Pm 0.500 0.500 0.795 1
Pm6 Pm 0.500 0.000 0.106 1
Pm7 Pm 0.500 0.000 0.303 1
Pm8 Pm 0.500 0.000 0.500 1
Pm9 Pm 0.500 0.000 0.697 1
Pm10 Pm 0.500 0.000 0.894 1
Pm11 Pm 0.000 0.500 0.106 1
Pm12 Pm 0.000 0.500 0.303 1
Pm13 Pm 0.000 0.500 0.500 1
Pm14 Pm 0.000 0.500 0.697 1
Pm15 Pm 0.000 0.500 0.894 1
Tm1 Tm 0.000 0.000 0.204 1
Tm2 Tm 0.000 0.000 0.401 1
Tm3 Tm 0.000 0.000 0.599 1
Tm4 Tm 0.000 0.000 0.796 1
```

---

[5]
A geometry-optimized Ac2Pm5Tm4 structure, computed with PBE.

Output
Fermi-level density of states   16.1 states/eV per cell
V   380 Å³ per cell
DFT formation energy   0.04 eV/atom
Total magnetic moment   0.00 μB/cell

Geometry as CIF:
```
data_Ac2Pm5Tm4
_chemical_formula_sum 'Ac2 Pm5 Tm4'
_cell_length_a 3.683
_cell_length_b 8.943
_cell_length_c 12.087
_cell_angle_alpha 105.11
_cell_angle_beta 98.77
_cell_angle_gamma 89.98
_space_group_name_H-M_alt 'P 1'
_space_group_IT_number 1
_space_group_name_Hall 'P 1'
loop_
_atom_site_label
_atom_site_type_symbol
_atom_site_fract_x
_atom_site_fract_y
_atom_site_fract_z
_atom_site_occupancy
Ac1 Ac 0.588 0.721 0.178 1
Ac2 Ac 0.412 0.279 0.822 1
Pm1 Pm 0.138 0.098 0.275 1
Pm2 Pm 0.862 0.902 0.725 1
Pm3 Pm 0.229 0.811 0.456 1
Pm4 Pm 0.500 0.000 0.000 1
Pm5 Pm 0.771 0.189 0.544 1
Tm1 Tm 0.683 0.452 0.365 1
Tm2 Tm 0.049 0.357 0.099 1
Tm3 Tm 0.317 0.548 0.635 1
Tm4 Tm 0.951 0.643 0.901 1
```

---

[6]
A geometry-optimized AcPm6Tm2 structure, computed with PBE.

Output
Fermi-level density of states   14.1 states/eV per cell
V   315 Å³ per cell
DFT formation energy   0.07 eV/atom
Total magnetic moment   0.00 μB/cell

Geometry as CIF:
```
data_AcPm6Tm2
_chemical_formula_sum 'Ac1 Pm6 Tm2'
_cell_length_a 3.660
_cell_length_b 3.660
_cell_length_c 27.110
_cell_angle_alpha 90.00
_cell_angle_beta 90.00
_cell_angle_gamma 120.00
_space_group_name_H-M_alt 'P 1'
_space_group_IT_number 1
_space_group_name_Hall 'P 1'
loop_
_atom_site_label
_atom_site_type_symbol
_atom_site_fract_x
_atom_site_fract_y
_atom_site_fract_z
_atom_site_occupancy
Ac1 Ac 0.333 0.667 0.000 1
Pm1 Pm 0.667 0.333 0.882 1
Pm2 Pm 0.333 0.667 0.434 1
Pm3 Pm 0.333 0.667 0.774 1
Pm4 Pm 0.333 0.667 0.226 1
Pm5 Pm 0.333 0.667 0.566 1
Pm6 Pm 0.667 0.333 0.118 1
Tm1 Tm 0.667 0.333 0.332 1
Tm2 Tm 0.667 0.333 0.668 1
```

---

[7]
A geometry-optimized AcPm6Tm5 structure, computed with PBE.

Output
Fermi-level density of states   15.8 states/eV per cell
V   399 Å³ per cell
DFT formation energy   0.03 eV/atom
Total magnetic moment   0.00 μB/cell

Geometry as CIF:
```
data_AcPm6Tm5
_chemical_formula_sum 'Ac1 Pm6 Tm5'
_cell_length_a 15.737
_cell_length_b 6.268
_cell_length_c 6.256
_cell_angle_alpha 59.94
_cell_angle_beta 70.53
_cell_angle_gamma 48.29
_space_group_name_H-M_alt 'P 1'
_space_group_IT_number 1
_space_group_name_Hall 'P 1'
loop_
_atom_site_label
_atom_site_type_symbol
_atom_site_fract_x
_atom_site_fract_y
_atom_site_fract_z
_atom_site_occupancy
Ac1 Ac 0.000 0.000 0.000 1
Tm1 Tm 0.500 0.167 0.666 1
Tm2 Tm 0.000 0.334 0.332 1
Tm3 Tm 0.500 0.500 0.000 1
Tm4 Tm 0.000 0.666 0.668 1
Tm5 Tm 0.500 0.833 0.334 1
Pm1 Pm 0.745 0.089 0.336 1
Pm2 Pm 0.255 0.575 0.336 1
Pm3 Pm 0.256 0.237 0.000 1
Pm4 Pm 0.744 0.763 0.000 1
Pm5 Pm 0.745 0.425 0.664 1
Pm6 Pm 0.255 0.911 0.664 1
```

---

[8]
A geometry-optimized Ac2Pm5Tm12 structure, computed with PBE.

Output
Fermi-level density of states   26.5 states/eV per cell
V   638 Å³ per cell
DFT formation energy   0.16 eV/atom
Total magnetic moment   0.00 μB/cell

Geometry as CIF:
```
data_Ac2Pm5Tm12
_chemical_formula_sum 'Ac2 Pm5 Tm12'
_cell_length_a 12.487
_cell_length_b 12.487
_cell_length_c 8.550
_cell_angle_alpha 47.93
_cell_angle_beta 47.93
_cell_angle_gamma 43.76
_space_group_name_H-M_alt 'P 1'
_space_group_IT_number 1
_space_group_name_Hall 'P 1'
loop_
_atom_site_label
_atom_site_type_symbol
_atom_site_fract_x
_atom_site_fract_y
_atom_site_fract_z
_atom_site_occupancy
Ac1 Ac 0.699 0.301 0.000 1
Ac2 Ac 0.301 0.699 0.000 1
Pm1 Pm 0.304 0.304 0.391 1
Pm2 Pm 0.238 0.238 0.105 1
Pm3 Pm 0.000 0.000 0.500 1
Pm4 Pm 0.762 0.762 0.895 1
Pm5 Pm 0.696 0.696 0.609 1
Tm1 Tm 0.102 0.102 0.679 1
Tm2 Tm 0.019 0.659 0.069 1
Tm3 Tm 0.659 0.019 0.069 1
Tm4 Tm 0.185 0.566 0.604 1
Tm5 Tm 0.566 0.185 0.604 1
Tm6 Tm 0.557 0.557 0.216 1
Tm7 Tm 0.443 0.443 0.784 1
Tm8 Tm 0.815 0.434 0.396 1
Tm9 Tm 0.434 0.815 0.396 1
Tm10 Tm 0.981 0.341 0.931 1
Tm11 Tm 0.341 0.981 0.931 1
Tm12 Tm 0.898 0.898 0.321 1
```

---

[9]
A geometry-optimized AcPm12Tm2 structure, computed with PBE.

Output
Fermi-level density of states   43.1 states/eV per cell
V   1039 Å³ per cell
DFT formation energy   0.11 eV/atom
Total magnetic moment   0.00 μB/cell

Geometry as CIF:
```
data_AcPm12Tm2
_chemical_formula_sum 'Ac2 Pm24 Tm4'
_cell_length_a 6.786
_cell_length_b 6.786
_cell_length_c 25.543
_cell_angle_alpha 96.63
_cell_angle_beta 96.63
_cell_angle_gamma 115.21
_space_group_name_H-M_alt 'P 1'
_space_group_IT_number 1
_space_group_name_Hall 'P 1'
loop_
_atom_site_label
_atom_site_type_symbol
_atom_site_fract_x
_atom_site_fract_y
_atom_site_fract_z
_atom_site_occupancy
Ac1 Ac 0.493 0.993 0.991 1
Ac2 Ac 0.007 0.507 0.009 1
Pm1 Pm 0.611 0.580 0.795 1
Pm2 Pm 0.080 0.111 0.795 1
Pm3 Pm 0.942 0.942 0.924 1
Pm4 Pm 0.384 0.884 0.847 1
Pm5 Pm 0.014 0.984 0.330 1
Pm6 Pm 0.116 0.616 0.153 1
Pm7 Pm 0.681 0.181 0.583 1
Pm8 Pm 0.484 0.514 0.330 1
Pm9 Pm 0.442 0.442 0.924 1
Pm10 Pm 0.558 0.558 0.076 1
Pm11 Pm 0.153 0.187 0.555 1
Pm12 Pm 0.819 0.319 0.417 1
Pm13 Pm 0.016 0.986 0.670 1
Pm14 Pm 0.347 0.313 0.445 1
Pm15 Pm 0.058 0.058 0.076 1
Pm16 Pm 0.813 0.847 0.445 1
Pm17 Pm 0.687 0.653 0.555 1
Pm18 Pm 0.889 0.920 0.205 1
Pm19 Pm 0.207 0.707 0.574 1
Pm20 Pm 0.486 0.516 0.670 1
Pm21 Pm 0.899 0.399 0.866 1
Pm22 Pm 0.420 0.389 0.205 1
Pm23 Pm 0.293 0.793 0.426 1
Pm24 Pm 0.601 0.101 0.134 1
Tm1 Tm 0.470 0.970 0.277 1
Tm2 Tm 0.948 0.448 0.276 1
Tm3 Tm 0.030 0.530 0.723 1
Tm4 Tm 0.552 0.052 0.724 1
```

---

[10]
A geometry-optimized AcPm4Tm5 structure, computed with PBE.

Output
Fermi-level density of states   14.7 states/eV per cell
V   330 Å³ per cell
DFT formation energy   0.04 eV/atom
Total magnetic moment   0.00 μB/cell

Geometry as CIF:
```
data_AcPm4Tm5
_chemical_formula_sum 'Ac1 Pm4 Tm5'
_cell_length_a 3.635
_cell_length_b 3.635
_cell_length_c 24.997
_cell_angle_alpha 90.00
_cell_angle_beta 90.00
_cell_angle_gamma 90.00
_space_group_name_H-M_alt 'P 1'
_space_group_IT_number 1
_space_group_name_Hall 'P 1'
loop_
_atom_site_label
_atom_site_type_symbol
_atom_site_fract_x
_atom_site_fract_y
_atom_site_fract_z
_atom_site_occupancy
Ac1 Ac 0.000 0.000 0.000 1
Pm1 Pm 0.000 0.000 0.205 1
Pm2 Pm 0.000 0.000 0.402 1
Pm3 Pm 0.000 0.000 0.598 1
Pm4 Pm 0.000 0.000 0.795 1
Tm1 Tm 0.500 0.500 0.107 1
Tm2 Tm 0.500 0.500 0.303 1
Tm3 Tm 0.500 0.500 0.500 1
Tm4 Tm 0.500 0.500 0.697 1
Tm5 Tm 0.500 0.500 0.893 1
```

---

[11]
A geometry-optimized AcPmTm structure, computed with PBE.

Output
Fermi-level density of states   9.5 states/eV per cell
V   229 Å³ per cell
DFT formation energy   0.32 eV/atom
Total magnetic moment   0.00 μB/cell

Geometry as CIF:
```
data_AcPmTm
_chemical_formula_sum 'Ac2 Pm2 Tm2'
_cell_length_a 5.112
_cell_length_b 5.112
_cell_length_c 8.767
_cell_angle_alpha 90.00
_cell_angle_beta 90.00
_cell_angle_gamma 90.00
_space_group_name_H-M_alt 'P 1'
_space_group_IT_number 1
_space_group_name_Hall 'P 1'
loop_
_atom_site_label
_atom_site_type_symbol
_atom_site_fract_x
_atom_site_fract_y
_atom_site_fract_z
_atom_site_occupancy
Ac1 Ac 0.000 0.000 0.000 1
Ac2 Ac 0.500 0.500 0.000 1
Tm1 Tm 0.000 0.500 0.698 1
Tm2 Tm 0.500 0.000 0.302 1
Pm1 Pm 0.000 0.500 0.303 1
Pm2 Pm 0.500 0.000 0.697 1
```

---

[12]
A geometry-optimized AcPm5Tm6 structure, computed with PBE.

Output
Fermi-level density of states   16.6 states/eV per cell
V   395 Å³ per cell
DFT formation energy   0.03 eV/atom
Total magnetic moment   0.00 μB/cell

Geometry as CIF:
```
data_AcPm5Tm6
_chemical_formula_sum 'Ac1 Pm5 Tm6'
_cell_length_a 5.133
_cell_length_b 9.991
_cell_length_c 9.527
_cell_angle_alpha 121.62
_cell_angle_beta 105.63
_cell_angle_gamma 90.00
_space_group_name_H-M_alt 'P 1'
_space_group_IT_number 1
_space_group_name_Hall 'P 1'
loop_
_atom_site_label
_atom_site_type_symbol
_atom_site_fract_x
_atom_site_fract_y
_atom_site_fract_z
_atom_site_occupancy
Ac1 Ac 0.000 0.000 0.000 1
Tm1 Tm 0.832 0.579 0.664 1
Tm2 Tm 0.832 0.085 0.664 1
Tm3 Tm 0.500 0.744 0.000 1
Tm4 Tm 0.500 0.256 0.000 1
Tm5 Tm 0.168 0.915 0.336 1
Tm6 Tm 0.168 0.421 0.336 1
Pm1 Pm 0.670 0.170 0.340 1
Pm2 Pm 0.333 0.333 0.666 1
Pm3 Pm 0.000 0.500 0.000 1
Pm4 Pm 0.667 0.667 0.334 1
Pm5 Pm 0.330 0.830 0.660 1
```

---

- Which value of total magnetic moment does entry 12 give?
  0.00 μB/cell